The following is a GGA-PBE calculation of a relaxed PmPrSmHg crystal, from Alexandria via LeMat-Bulk.

Cell and atoms, written as POSCAR:
```
PmPrSmHg
1.0
7.855 0.000 0.000
0.000 7.855 0.000
0.000 0.000 7.855
Pm Pr Sm Hg
4 4 4 4
Direct
0.000 0.000 0.000
0.000 0.500 0.500
0.500 0.000 0.500
0.500 0.500 0.000
0.000 0.000 0.500
0.000 0.500 0.000
0.500 0.000 0.000
0.500 0.500 0.500
0.250 0.250 0.250
0.250 0.750 0.750
0.750 0.250 0.750
0.750 0.750 0.250
0.250 0.250 0.750
0.250 0.750 0.250
0.750 0.250 0.250
0.750 0.750 0.750
```

- formation energy from the elements (eV/atom) = -0.065
- energy above the lowest structure with this stoichiometry (eV per atom) = 0.1683
- magnetic moment (μB/f.u.) = 0.0
- Fermi-level density of states (states/eV per cell) = 22.7
- symmetry = F-43m
- calculated volume (Å³/cell) = 484.7